No. 1
Here is a geometry-optimized GeMo2S structure from Alexandria. Energies are from GGA-PBE.

density of states at the Fermi level: 6.689 states/eV per cell
uncorrected formation energy: 372 meV per atom

Unit cell a=4.0292 b=4.0292 c=8.9245 alpha=76.95 beta=76.95 gamma=90.00
With the nearest neighbours (Å) after each atom.
Atoms (fractional coordinates):
S 0.2500 0.7500 0.5000  4 Mo 2.48
S 0.5000 0.5000 0.0000  4 Mo 2.48
Ge 0.0000 0.0000 0.0000  4 Mo 2.64, 4 S 2.85
Ge 0.7500 0.2500 0.5000  4 Mo 2.64, 4 S 2.85
Mo 0.5745 0.1250 0.2500  2 S 2.48, 2 Mo 2.58, 2 Ge 2.64
Mo 0.3750 0.4255 0.7500  2 S 2.48, 2 Mo 2.58, 2 Ge 2.64
Mo 0.1755 0.6250 0.2500  2 S 2.48, 2 Mo 2.58, 2 Ge 2.64
Mo 0.8750 0.8245 0.7500  2 S 2.48, 2 Mo 2.58, 2 Ge 2.64

---

No. 2
Here is a geometry-optimized GeMo3S structure from Alexandria. Energies are from GGA-PBE.

density of states at the Fermi level: 5.369 states/eV per cell
uncorrected formation energy: 552 meV per atom

Unit cell a=4.4162 b=4.4162 c=4.4162 alpha=90.00 beta=90.00 gamma=90.00
With the nearest neighbours (Å) after each atom.
Atoms (fractional coordinates):
Mo 0.0000 0.0000 0.5000  2 S 2.21
Mo 0.5000 0.0000 0.0000  2 S 2.21
Mo 0.0000 0.5000 0.0000  2 S 2.21
Ge 0.5000 0.5000 0.5000  12 Mo 3.12
S 0.0000 0.0000 0.0000  6 Mo 2.21

---

No. 3
Here is a geometry-optimized Si2GeMoS structure from Alexandria. Energies are from GGA-PBE.

density of states at the Fermi level: 5.100 states/eV per cell
uncorrected formation energy: 1368 meV per atom

Unit cell a=4.6265 b=5.0284 c=4.6265 alpha=90.00 beta=90.00 gamma=90.00
With the nearest neighbours (Å) after each atom.
Atoms (fractional coordinates):
Si 0.5000 0.0000 0.0000  2 Ge 2.31
Si 0.0000 0.0000 0.5000  2 Ge 2.31
Ge 0.0000 0.0000 0.0000  4 Si 2.31, 2 Mo 2.51
S 0.5000 0.5000 0.5000  4 Mo 3.27, 8 Si 3.42
Mo 0.0000 0.5000 0.0000  2 Ge 2.51

---

No. 4
Here is a geometry-optimized VGe2MoS structure from Alexandria. Energies are from GGA-PBE.

density of states at the Fermi level: 5.404 states/eV per cell
uncorrected formation energy: 892 meV per atom

Unit cell a=4.8668 b=4.5371 c=4.8668 alpha=90.00 beta=90.00 gamma=90.00
With the nearest neighbours (Å) after each atom.
Atoms (fractional coordinates):
Ge 0.5000 0.0000 0.0000  2 Mo 2.43
Ge 0.0000 0.0000 0.5000  2 Mo 2.43
V 0.0000 0.5000 0.0000  2 Mo 2.27
S 0.5000 0.5000 0.5000  8 Ge 3.33, 4 V 3.44
Mo 0.0000 0.0000 0.0000  2 V 2.27, 4 Ge 2.43

---

Among the records above, which one has the highest uncorrected formation energy?
Si2GeMoS